No. 1
# PBE Tb2Be6Pt9, relaxed
# Formation enthalpy at 0 K ... -835 meV/atom
data_Tb2Be6Pt9
_cell_length_a 5.5162
_cell_length_b 5.5162
_cell_length_c 10.1631
_cell_angle_alpha 90.00
_cell_angle_beta 90.00
_cell_angle_gamma 120.00
_symmetry_space_group_name_H-M 'P 6/m m m'
_symmetry_Int_Tables_number 191
_symmetry_space_group_name_Hall '-P 6 2'
loop_
_atom_site_label
_atom_site_fract_x
_atom_site_fract_y
_atom_site_fract_z
_atom_site_occupancy
Tb1 0.0000 0.0000 0.1900 1
Be1 0.3333 0.6667 0.1657 1
Be2 0.3333 0.6667 0.5000 1
Pt1 0.0000 0.5000 0.0000 1
Pt2 0.0000 0.5000 0.3337 1



No. 2
# PBE RbZnP2, relaxed
# Formation enthalpy at 0 K ... -41 meV/atom
data_RbZnP2
_cell_length_a 5.103
_cell_length_b 5.103
_cell_length_c 16.213
_cell_angle_alpha 90.00
_cell_angle_beta 90.00
_cell_angle_gamma 90.00
_symmetry_space_group_name_H-M 'I 41/a m d'
_symmetry_Int_Tables_number 141
loop_
_symmetry_equiv_pos_as_xyz
'x,y,z'
'-x,-y,-z'
'-y+1/4,x+3/4,z+1/4'
'y+1/4,-x+3/4,-z+1/4'
'-x+1/2,-y,z+1/2'
'x+1/2,y,-z+1/2'
'y+1/4,-x+1/4,z+3/4'
'-y+1/4,x+1/4,-z+3/4'
'x,-y,-z'
'-x,y,z'
'-y+1/4,-x+1/4,-z+3/4'
'y+1/4,x+1/4,z+3/4'
'-x+1/2,y,-z+1/2'
'x+1/2,-y,z+1/2'
'y+1/4,x+3/4,-z+1/4'
'-y+1/4,-x+3/4,z+1/4'
'x+1/2,y+1/2,z+1/2'
'-x+1/2,-y+1/2,-z+1/2'
'-y+3/4,x+1/4,z+3/4'
'y+3/4,-x+1/4,-z+3/4'
'-x,-y+1/2,z'
'x,y+1/2,-z'
'y+3/4,-x+3/4,z+1/4'
'-y+3/4,x+3/4,-z+1/4'
'x+1/2,-y+1/2,-z+1/2'
'-x+1/2,y+1/2,z+1/2'
'-y+3/4,-x+3/4,-z+1/4'
'y+3/4,x+3/4,z+1/4'
'-x,y+1/2,-z'
'x,-y+1/2,z'
'y+3/4,x+1/4,-z+3/4'
'-y+3/4,-x+1/4,z+3/4'
loop_
_atom_site_label
_atom_site_fract_x
_atom_site_fract_y
_atom_site_fract_z
_atom_site_occupancy
Rb1 0.000 0.250 0.375 1
Zn1 0.000 0.250 0.875 1
P1 0.000 0.000 0.000 1



No. 3
# PBE CaLaSiNi, relaxed
# E_form (uncorrected) ... -504.3 meV per atom
data_CaLaSiNi
_cell_length_a 4.0802
_cell_length_b 4.0802
_cell_length_c 22.6933
_cell_angle_alpha 90.00
_cell_angle_beta 90.00
_cell_angle_gamma 120.00
_symmetry_space_group_name_H-M 'R 3 m'
_symmetry_Int_Tables_number 160
_symmetry_space_group_name_Hall 'R 3 -2"'
loop_
_atom_site_label
_atom_site_fract_x
_atom_site_fract_y
_atom_site_fract_z
_atom_site_occupancy
Ca1 0.0000 0.0000 0.0000 1
La1 0.0000 0.0000 0.8308 1
Si1 0.0000 0.0000 0.5814 1
Ni1 0.0000 0.0000 0.2488 1